NaCdAgOs2 | Alexandria | GGA-PBE | optimized geometry; energy of formation = 2005.1 meV/atom; VASP energy = -3.504 eV per atom; DOS at the Fermi energy = 1.02 states/eV/atom
1.0
4.928 0.000 0.000
0.000 4.862 0.000
0.000 0.000 4.928
Na Os Ag Cd
1 2 1 1
Direct
0.000 0.500 0.000
0.000 0.000 0.500
0.500 0.000 0.000
0.000 0.000 0.000
0.500 0.500 0.500


Na2Cd5Ag2Pb | Alexandria | GGA-PBE | optimized geometry; energy of formation = -51.2 meV/atom; VASP energy = -1.714 eV per atom; DOS at the Fermi energy = 0.47 states/eV/atom
1.0
4.776 0.000 0.000
0.000 10.046 0.000
0.000 0.000 10.046
Na Cd Ag Pb
4 10 4 2
Direct
0.000 0.681 0.181
0.000 0.319 0.819
0.000 0.181 0.319
0.000 0.819 0.681
0.500 0.209 0.071
0.500 0.791 0.929
0.500 0.071 0.791
0.500 0.709 0.429
0.500 0.929 0.209
0.500 0.291 0.571
0.500 0.571 0.709
0.500 0.429 0.291
0.500 0.500 0.000
0.500 0.000 0.500
0.000 0.111 0.611
0.000 0.889 0.389
0.000 0.611 0.889
0.000 0.389 0.111
0.000 0.000 0.000
0.000 0.500 0.500